## EuLuMg4 (PBE-GGA)

Data for a geometry-optimized EuLuMg4 structure.

Summary:
- ΔH_f (0 K) (meV per atom) = -53
- M_tot (μB per cell) = 7.223

a = 6.1083 Å, b = 6.1083 Å, c = 6.1083 Å
α = 60.00°, β = 60.00°, γ = 60.00°
Sites, in units of the cell vectors:
Eu (0.0000, 0.0000, 0.0000)
Lu (0.2500, 0.2500, 0.2500)
Mg (0.1265, 0.6245, 0.6245)
Mg (0.6245, 0.1265, 0.6245)
Mg (0.6245, 0.6245, 0.1265)
Mg (0.6245, 0.6245, 0.6245)